Computed, not measured: KMnAg2 after structural relaxation at the GGA-PBE level of DFT. Values from VASP.

total magnetic moment	4.4	μB/cell
energy above the most stable polymorph in this dataset	0.71	eV/f.u.
uncorrected energy	-14.05	eV per formula unit
density	5.7	Mg/m³
formation energy	0.480	eV/atom

```
&SYSTEM
  ibrav = 0, nat = 4, ntyp = 3
/
ATOMIC_SPECIES
Ag 107.87 Ag.upf
K 39.10 K.upf
Mn 54.94 Mn.upf
ATOMIC_POSITIONS angstrom
Ag -0.221 0.134 0.325
Ag -7.685 4.657 11.276
K -3.953 2.396 5.801
Mn -11.859 7.187 17.402
CELL_PARAMETERS angstrom
-6.252 4.313 6.604
-5.854 1.448 8.058
-3.706 3.821 8.542
```